Record 1
Below is a geometry-optimized VTeSe structure, with properties calculated at the PBE level.

abc: 3.489 3.489 7.035
angles: 90.00 90.00 120.00
Sites, in units of the cell vectors:
1 Se 0.333 0.667 0.559
2 Te 0.000 0.000 0.090
3 V 0.667 0.333 0.351

Its crystal system is trigonal. The uncorrected formation energy is -0.51 eV per atom. The density of states at the Fermi level is 1.05 states/eV per cell. The distance to the lowest polymorph of the same formula is 0.027 eV per atom.


Record 2
Below is a geometry-optimized VTe3Se structure, with properties calculated at the PBE level.

abc: 5.133 5.133 5.133
angles: 90.00 90.00 90.00
Sites, in units of the cell vectors:
1 Se 0.500 0.500 0.500
2 V 0.000 0.000 0.000
3 Te 0.000 0.500 0.000
4 Te 0.000 0.000 0.500
5 Te 0.500 0.000 0.000

Its crystal system is cubic. The uncorrected formation energy is 0.30 eV per atom. The density of states at the Fermi level is 5.19 states/eV per cell. The distance to the lowest polymorph of the same formula is 0.000 eV per atom.


Record 3
Below is a geometry-optimized VTe2Se structure, with properties calculated at the PBE level.

abc: 8.872 8.872 8.872
angles: 25.28 25.28 25.28
Sites, in units of the cell vectors:
1 Te 0.895 0.895 0.895
2 Se 0.000 0.000 0.000
3 V 0.500 0.500 0.500
4 Te 0.105 0.105 0.105

Its crystal system is trigonal. The uncorrected formation energy is -0.01 eV per atom. The density of states at the Fermi level is 4.69 states/eV per cell.


Record 4
Below is a geometry-optimized V3Te2Se4 structure, with properties calculated at the PBE level.

abc: 3.413 3.413 22.085
angles: 90.00 90.00 120.00
Sites, in units of the cell vectors:
1 V 0.000 0.000 0.335
2 Te 0.667 0.333 0.894
3 Se 0.667 0.333 0.263
4 V 0.667 0.333 0.647
5 Se 0.000 0.000 0.719
6 Te 0.667 0.333 0.059
7 Se 0.667 0.333 0.407
8 V 0.000 0.000 0.977
9 Se 0.000 0.000 0.576

Its crystal system is trigonal. The uncorrected formation energy is -0.55 eV per atom. The density of states at the Fermi level is 4.01 states/eV per cell.


Record 5
Below is a geometry-optimized VTeSe structure, with properties calculated at the PBE level.

abc: 3.995 7.467 9.700
angles: 90.00 90.00 90.00
Sites, in units of the cell vectors:
1 V 0.250 0.565 0.066
2 V 0.250 0.935 0.566
3 Se 0.750 0.476 0.211
4 Se 0.250 0.976 0.289
5 Te 0.250 0.292 0.510
6 Se 0.750 0.024 0.711
7 Se 0.250 0.524 0.789
8 Te 0.750 0.708 0.490
9 V 0.750 0.065 0.434
10 V 0.750 0.435 0.934
11 Te 0.750 0.792 0.990
12 Te 0.250 0.208 0.010

Its crystal system is orthorhombic. The uncorrected formation energy is -0.24 eV per atom. The density of states at the Fermi level is 10.14 states/eV per cell. The distance to the lowest polymorph of the same formula is 0.296 eV per atom.


Record 6
Below is a geometry-optimized V3TeSe structure, with properties calculated at the PBE level.

abc: 5.136 5.136 5.136
angles: 90.00 90.00 90.00
Sites, in units of the cell vectors:
1 Se 0.500 0.500 0.500
2 V 0.000 0.000 0.500
3 Te 0.000 0.000 0.000
4 V 0.500 0.000 0.000
5 V 0.000 0.500 0.000

Its crystal system is cubic. The uncorrected formation energy is 1.11 eV per atom. The density of states at the Fermi level is 10.24 states/eV per cell. The distance to the lowest polymorph of the same formula is 0.546 eV per atom.


Record 7
Below is a geometry-optimized VTeSe structure, with properties calculated at the PBE level.

abc: 3.313 6.413 7.459
angles: 100.22 102.83 90.00
Sites, in units of the cell vectors:
1 Te 0.862 0.615 0.724
2 Te 0.138 0.385 0.276
3 Se 0.367 0.122 0.735
4 V 0.246 0.798 0.492
5 Se 0.633 0.878 0.265
6 V 0.754 0.202 0.508

Its crystal system is monoclinic. The uncorrected formation energy is -0.53 eV per atom. The density of states at the Fermi level is 2.41 states/eV per cell. The distance to the lowest polymorph of the same formula is 0.000 eV per atom.


Record 8
Below is a geometry-optimized VTeSe structure, with properties calculated at the PBE level.

abc: 6.004 7.257 6.915
angles: 90.00 90.00 87.25
Sites, in units of the cell vectors:
1 Se 0.594 0.292 0.873
2 V 0.747 0.500 0.628
3 V 0.753 0.500 0.128
4 V 0.253 0.500 0.372
5 Te 0.901 0.751 0.878
6 Se 0.406 0.708 0.127
7 Se 0.094 0.292 0.627
8 Te 0.599 0.249 0.378
9 Se 0.906 0.708 0.373
10 Te 0.099 0.249 0.122
11 Te 0.401 0.751 0.622
12 V 0.247 0.500 0.872

Its crystal system is monoclinic. The uncorrected formation energy is -0.50 eV per atom. The density of states at the Fermi level is 4.85 states/eV per cell. The distance to the lowest polymorph of the same formula is 0.033 eV per atom.


Record 9
Below is a geometry-optimized VTeSe2 structure, with properties calculated at the PBE level.

abc: 7.391 7.391 6.237
angles: 53.67 53.67 90.00
Sites, in units of the cell vectors:
1 Te 0.750 0.250 0.500
2 Te 0.000 0.000 0.000
3 Se 0.375 0.432 0.750
4 Se 0.875 0.818 0.750
5 V 0.500 0.500 0.000
6 V 0.250 0.750 0.500
7 Se 0.182 0.625 0.250
8 Se 0.568 0.125 0.250

Its crystal system is tetragonal. The uncorrected formation energy is 0.01 eV per atom. The density of states at the Fermi level is 6.41 states/eV per cell.


Record 10
Below is a geometry-optimized VTeSe structure, with properties calculated at the PBE level.

abc: 3.155 3.155 7.147
angles: 102.75 102.75 90.00
Sites, in units of the cell vectors:
1 V 0.655 0.655 0.310
2 Te 0.291 0.291 0.582
3 Se 0.054 0.054 0.107

Its crystal system is tetragonal. The uncorrected formation energy is -0.28 eV per atom. The density of states at the Fermi level is 2.07 states/eV per cell. The distance to the lowest polymorph of the same formula is 0.258 eV per atom.


Record 11
Below is a geometry-optimized VTe3Se structure, with properties calculated at the PBE level.

abc: 5.416 5.416 5.416
angles: 90.00 90.00 90.00
Sites, in units of the cell vectors:
1 V 0.500 0.500 0.500
2 Se 0.000 0.000 0.000
3 Te 0.000 0.000 0.500
4 Te 0.000 0.500 0.000
5 Te 0.500 0.000 0.000

Its crystal system is cubic. The uncorrected formation energy is 0.79 eV per atom. The density of states at the Fermi level is 5.84 states/eV per cell. The distance to the lowest polymorph of the same formula is 0.496 eV per atom.


Record 12
Below is a geometry-optimized V2Te3Se structure, with properties calculated at the PBE level.

abc: 3.536 7.520 11.881
angles: 81.04 81.44 76.40
Sites, in units of the cell vectors:
1 Te 0.105 0.007 0.784
2 V 0.253 0.645 0.849
3 Te 0.636 0.208 0.519
4 V 0.747 0.355 0.151
5 Te 0.639 0.700 0.021
6 Te 0.364 0.792 0.481
7 Se 0.128 0.469 0.275
8 Te 0.895 0.993 0.216
9 V 0.746 0.860 0.648
10 Se 0.872 0.531 0.725
11 Te 0.361 0.300 0.979
12 V 0.254 0.140 0.352

Its crystal system is monoclinic. The uncorrected formation energy is -0.42 eV per atom. The density of states at the Fermi level is 5.71 states/eV per cell. The distance to the lowest polymorph of the same formula is 0.000 eV per atom.


The evaluated VASP energy for the records listed, in turn: -5.756, -4.110, -4.727, -5.839, -5.488, -5.691, -5.783, -5.750, -4.798, -5.525, -3.614, -5.616 eV/atom.